# Rb2SrCo3F12

Crystalline Rb2SrCo3F12 at its relaxed geometry (PBE with a Hubbard U, Alexandria).

The structure in POSCAR format:
```
Rb2SrCo3F12
1.0
7.150 -0.237 -0.168
3.325 6.334 -0.168
3.325 1.936 6.033
Co F Rb Sr
3 12 2 1
Direct
0.000 0.000 0.500
0.500 0.000 0.000
0.000 0.500 0.000
0.278 0.278 0.903
0.903 0.278 0.278
0.722 0.722 0.097
0.588 0.122 0.122
0.122 0.122 0.588
0.097 0.722 0.722
0.412 0.878 0.878
0.722 0.097 0.722
0.278 0.903 0.278
0.122 0.588 0.122
0.878 0.412 0.878
0.878 0.878 0.412
0.611 0.611 0.611
0.389 0.389 0.389
0.000 0.000 0.000
```

Output
symmetry = R-3m, No. 166
energy = -4.777 eV/atom